Entry 1:
{"formula": "RbUPaS6", "functional": "PBE", "state": "optimized geometry", "final_energy_ev_per_fu": -57.81, "crystal_system": "orthorhombic", "spacegroup": "Imma (74)", "lattice": [[9.454, 0.000, 0.000], [0.000, 9.629, 0.000], [-4.727, -4.814, 6.759]], "species": ["Pa", "Pa", "S", "S", "S", "S", "S", "S", "S", "S", "S", "S", "S", "S", "U", "U", "Rb", "Rb"], "frac_coords": [[0.500, 0.000, 0.500], [0.000, 0.000, 0.500], [0.436, 0.686, 0.872], [0.821, 0.080, 0.250], [0.430, 0.670, 0.250], [0.833, 0.083, 0.666], [0.570, 0.920, 0.750], [0.570, 0.330, 0.750], [0.179, 0.920, 0.750], [0.821, 0.670, 0.250], [0.179, 0.330, 0.750], [0.167, 0.917, 0.334], [0.430, 0.080, 0.250], [0.564, 0.314, 0.128], [0.500, 0.500, 0.000], [0.500, 0.000, 0.000], [0.092, 0.342, 0.184], [0.908, 0.658, 0.816]]}

---

Entry 2:
{"formula": "NaRuSe2Br", "functional": "PBE", "state": "optimized geometry", "e_above_lowest_polymorph_mev_per_atom": 0, "n_ef_per_ev_fu": 5.831, "crystal_system": "tetragonal", "spacegroup": "P4/mmm (123)", "lattice": [[4.804, 0.000, 0.000], [0.000, 4.804, 0.000], [0.000, 0.000, 5.649]], "species": ["Se", "Se", "Na", "Ru", "Br"], "frac_coords": [[0.000, 0.500, 0.000], [0.500, 0.000, 0.000], [0.500, 0.500, 0.500], [0.000, 0.000, 0.000], [0.000, 0.000, 0.500]]}

---

Entry 3:
{"formula": "TaBAs2Pb", "functional": "PBE", "state": "optimized geometry", "n_ef_per_ev_fu": 7.113, "crystal_system": "tetragonal", "spacegroup": "P4/mmm (123)", "ef_ev_per_atom": 2.03, "lattice": [[5.353, 0.000, 0.000], [0.000, 4.132, 0.000], [0.000, 0.000, 5.353]], "species": ["Ta", "B", "As", "As", "Pb"], "frac_coords": [[0.500, 0.500, 0.500], [0.000, 0.500, 0.000], [0.000, 0.000, 0.500], [0.500, 0.000, 0.000], [0.000, 0.000, 0.000]]}